1.
A plane-wave DFT calculation with GGA-PBE was carried out for an optimized crystal structure of Ba2DyW2N6.

Lattice parameters (Å, degrees): 10.923 6.238 7.285 90.00 122.70 90.00
Space group C2/m (No. 12)
One atom of each set of equivalent atoms:
Ba1 0.211 0.000 0.184
Dy1 0.000 0.000 0.500
W1 0.043 0.500 0.216
N1 0.046 0.255 0.770
N2 0.244 0.500 0.371

Computed properties:
Its formation energy (no corrections) is -0.7535 eV/atom.

2.
A plane-wave DFT calculation with GGA-PBE was carried out for an optimized crystal structure of LaHoCoIr.

Lattice parameters (Å, degrees): 6.948 6.948 6.948 90.00 90.00 90.00
Space group F-43m (No. 216)
One atom of each set of equivalent atoms:
La1 0.000 0.000 0.000
Ho1 0.000 0.000 0.500
Co1 0.250 0.250 0.250
Ir1 0.250 0.250 0.750

Computed properties:
Its formation energy is -148 kJ/mol of formula units.

3.
A plane-wave DFT calculation with GGA-PBE was carried out for an optimized crystal structure of BeAgSe2.

Lattice parameters (Å, degrees): 4.1883 4.1883 20.3360 90.00 90.00 120.00
Space group R-3m (No. 166, hexagonal axes)
One atom of each set of equivalent atoms:
Be1 0.0000 0.0000 0.0000
Ag1 0.0000 0.0000 0.5000
Se1 0.0000 0.0000 0.0996

Computed properties:
Its formation energy (no corrections) is -0.0031 eV/atom.